A relaxed ZrTl2GaCl6 crystal. Source: OQMD via LeMat-Bulk, functional PBE.

The space group is Fm-3m (No. 225) and the conventional cell measures 10.719, 10.719 and 10.719 Å, with angles of 90.00, 90.00 and 90.00 degrees. The inequivalent atoms are Zr at (0.000, 0.000, 0.000), Tl at (0.250, 0.250, 0.250), Ga at (0.000, 0.000, 0.500) and Cl at (0.000, 0.000, 0.236).

As for the volume: 1232 Å³/cell. As for the total DFT energy (no corrections): -39.1 eV/f.u. The size of the total moment comes out at 4.00 Bohr magnetons per cell. The calculation puts the mass density at 4.2 Mg/m³. The crystal system is cubic.